Computed, not measured: ZrCu2BiS after structural relaxation at the PBE level of DFT.

Results
Calculated volume (Å³/atom): 25.3
Raw formation energy (kJ/mol of atoms): 86.56
Magnetic moment (Bohr magnetons per cell): 2.10

a = 4.7975 Å, b = 4.7975 Å, c = 5.4904 Å
α = 90.00°, β = 90.00°, γ = 90.00°
Sites, in units of the cell vectors:
Zr1 0.0000 0.0000 0.0000
Cu1 0.0000 0.5000 0.5000
Cu2 0.5000 0.0000 0.5000
Bi1 0.5000 0.5000 0.5000
S1 0.5000 0.5000 0.0000